No. 1
A plane-wave DFT calculation with GGA-PBE was carried out for a relaxed KAgBr6 crystal.

Lattice parameters (Å, degrees): 7.9006 6.5150 9.4041 58.16 94.99 124.01
Closest atoms and distances in Å follow each position.
Fractional coordinates of all 8 atoms:
1 K 0.5000 0.5000 0.5000  6 Br 3.34-3.48
2 Ag 0.0000 0.0000 0.0000  2 Br 2.52
3 Br 0.4011 0.1103 0.9522  1 Br 2.49
4 Br 0.0622 0.8440 0.5794  1 Br 2.47
5 Br 0.7335 0.4496 0.2526  1 Ag 2.52
6 Br 0.9378 0.1560 0.4206  1 Br 2.47
7 Br 0.5989 0.8897 0.0478  1 Br 2.49
8 Br 0.2665 0.5504 0.7474  1 Ag 2.52

SG: P-1 (2)
Crystal system: triclinic
Relative energy among the computed polymorphs, eV/atom: 0.000
N(E_F), states/eV per atom: 0.003
Magnetic moment, μB/f.u.: 0.0
E, eV per atom: -2.251

No. 2
A plane-wave DFT calculation with GGA-PBE was carried out for a relaxed K2AgBr5 crystal.

Lattice parameters (Å, degrees): 6.3623 8.2612 13.3755 90.00 90.00 112.65
Closest atoms and distances in Å follow each position.
Fractional coordinates of all 16 atoms:
1 K 0.8300 0.6601 0.4094  6 Br 3.22-3.31
2 K 0.8300 0.6601 0.0906  6 Br 3.22-3.31
3 K 0.1700 0.3399 0.5906  6 Br 3.22-3.31
4 K 0.1700 0.3399 0.9094  6 Br 3.22-3.31
5 Ag 0.8365 0.6730 0.7500  4 Br 2.57-2.59
6 Ag 0.1635 0.3270 0.2500  4 Br 2.57-2.59
7 Br 0.9536 0.9072 0.8879  1 Ag 2.57
8 Br 0.9536 0.9072 0.6121  1 Ag 2.57
9 Br 0.2864 0.5729 0.3837  1 Ag 2.59
10 Br 0.2864 0.5729 0.1163  1 Ag 2.59
11 Br 0.6714 0.3428 0.2500  2 Ag 3.18, 2 K 3.22
12 Br 0.3286 0.6572 0.7500  2 Ag 3.18, 2 K 3.22
13 Br 0.7136 0.4271 0.6163  1 Ag 2.59
14 Br 0.7136 0.4271 0.8837  1 Ag 2.59
15 Br 0.0464 0.0928 0.1121  1 Ag 2.57
16 Br 0.0464 0.0928 0.3879  1 Ag 2.57

SG: Cmcm (63)
Crystal system: orthorhombic
N(E_F), states/eV per atom: 0.655
Magnetic moment, μB/f.u.: 0.3
E, eV per atom: -2.549

No. 3
A plane-wave DFT calculation with GGA-PBE was carried out for a relaxed KAgBr3 crystal.

Lattice parameters (Å, degrees): 5.5587 5.5587 11.1786 90.00 90.00 120.00
Closest atoms and distances in Å follow each position.
Fractional coordinates of all 10 atoms:
1 K 0.3333 0.6667 0.7500  5 Br 3.19-3.21
2 K 0.6667 0.3333 0.2500  5 Br 3.19-3.21
3 Br 0.0000 0.0000 0.2500  2 Ag 2.79
4 Br 0.0000 0.0000 0.7500  2 Ag 2.79
5 Br 0.3333 0.6667 0.0351  1 K 3.19, 3 Ag 3.23, 3 Br 3.30
6 Br 0.3333 0.6667 0.4649  1 K 3.19, 3 Ag 3.23, 3 Br 3.30
7 Br 0.6667 0.3333 0.5351  1 K 3.19, 3 Ag 3.23, 3 Br 3.30
8 Br 0.6667 0.3333 0.9649  1 K 3.19, 3 Ag 3.23, 3 Br 3.30
9 Ag 0.0000 0.0000 0.0000  2 Br 2.79
10 Ag 0.0000 0.0000 0.5000  2 Br 2.79

SG: P6_3/mmc (194)
Crystal system: hexagonal
N(E_F), states/eV per atom: 0.510
Magnetic moment, μB/f.u.: 1.0
E, eV per atom: -2.457

No. 4
A plane-wave DFT calculation with GGA-PBE was carried out for a relaxed KAgBr3 crystal.

Lattice parameters (Å, degrees): 9.7506 9.7506 6.7825 90.00 90.00 148.17
Closest atoms and distances in Å follow each position.
Fractional coordinates of all 10 atoms:
1 K 0.1519 0.8481 0.2500  8 Br 3.32-3.68
2 K 0.8481 0.1519 0.7500  8 Br 3.32-3.68
3 Br 0.5698 0.9322 0.2500  2 Br 2.66-2.68
4 Br 0.0678 0.4302 0.2500  2 Br 2.66-2.68
5 Br 0.9322 0.5698 0.7500  2 Br 2.66-2.68
6 Br 0.4302 0.0678 0.7500  2 Br 2.66-2.68
7 Br 0.0000 0.0000 0.0000  4 Ag 3.20, 2 K 3.32, 2 Br 3.39
8 Br 0.0000 0.0000 0.5000  4 Ag 3.20, 2 K 3.32, 2 Br 3.39
9 Ag 0.4741 0.5259 0.2500  6 Br 3.20-3.21, 2 Ag 3.53
10 Ag 0.5259 0.4741 0.7500  6 Br 3.20-3.21, 2 Ag 3.53

SG: Cmcm (63)
Crystal system: orthorhombic
N(E_F), states/eV per atom: 0.055
Magnetic moment, μB/f.u.: 0.0
E, eV per atom: -2.385

No. 5
A plane-wave DFT calculation with GGA-PBE was carried out for a relaxed KAgBr3 crystal.

Lattice parameters (Å, degrees): 9.9753 9.9753 9.9753 60.00 60.00 60.00
Closest atoms and distances in Å follow each position.
Fractional coordinates of all 20 atoms:
1 K 0.1250 0.1250 0.1250  6 Br 3.44
2 K 0.1250 0.6250 0.1250  6 Br 3.44
3 K 0.6250 0.1250 0.1250  6 Br 3.44
4 K 0.1250 0.1250 0.6250  6 Br 3.44
5 Br 0.7075 0.2925 0.2925  2 Ag 2.75
6 Br 0.9575 0.5425 0.5425  2 Ag 2.75
7 Br 0.5425 0.5425 0.9575  2 Ag 2.75
8 Br 0.5425 0.9575 0.9575  2 Ag 2.75
9 Br 0.9575 0.5425 0.9575  2 Ag 2.75
10 Br 0.7075 0.2925 0.7075  2 Ag 2.75
11 Br 0.5425 0.9575 0.5425  2 Ag 2.75
12 Br 0.9575 0.9575 0.5425  2 Ag 2.75
13 Br 0.2925 0.7075 0.2925  2 Ag 2.75
14 Br 0.2925 0.7075 0.7075  2 Ag 2.75
15 Br 0.2925 0.2925 0.7075  2 Ag 2.75
16 Br 0.7075 0.7075 0.2925  2 Ag 2.75
17 Ag 0.6250 0.6250 0.6250  6 Br 2.75
18 Ag 0.6250 0.1250 0.6250  6 Br 2.75
19 Ag 0.1250 0.6250 0.6250  6 Br 2.75
20 Ag 0.6250 0.6250 0.1250  6 Br 2.75

SG: Fd-3m (227)
Crystal system: cubic
N(E_F), states/eV per atom: 0.291
Magnetic moment, μB/f.u.: 0.0
E, eV per atom: -2.555

No. 6
A plane-wave DFT calculation with GGA-PBE was carried out for a relaxed K2AgBr4 crystal.

Lattice parameters (Å, degrees): 4.3752 7.5910 7.5910 90.00 90.00 90.00
Closest atoms and distances in Å follow each position.
Fractional coordinates of all 7 atoms:
1 K 0.5000 0.0000 0.5000  8 Br 3.46
2 K 0.5000 0.5000 0.0000  8 Br 3.46
3 Br 0.0000 0.7566 0.7566  1 Ag 2.61
4 Br 0.0000 0.2434 0.2434  1 Ag 2.61
5 Br 0.0000 0.7566 0.2434  1 Ag 2.61
6 Br 0.0000 0.2434 0.7566  1 Ag 2.61
7 Ag 0.0000 0.0000 0.0000  4 Br 2.61

SG: P4/mmm (123)
Crystal system: tetragonal
Relative energy among the computed polymorphs, eV/atom: 0.000
N(E_F), states/eV per atom: 0.445
Magnetic moment, μB/f.u.: 0.0
E, eV per atom: -2.780

No. 7
A plane-wave DFT calculation with GGA-PBE was carried out for a relaxed KAg2Br crystal.

Lattice parameters (Å, degrees): 6.6468 3.9650 4.4568 90.15 90.00 90.00
Closest atoms and distances in Å follow each position.
Fractional coordinates of all 4 atoms:
1 Ag 0.0000 0.0003 0.9953  4 Ag 2.95-3.02
2 Ag 0.0000 0.4997 0.5047  4 Ag 2.95-3.02
3 Br 0.5000 0.2500 0.2500  4 K 2.98-2.99
4 K 0.5000 0.7500 0.7500  4 Br 2.98-2.99

SG: P2/m (10)
Crystal system: monoclinic
Relative energy among the computed polymorphs, eV/atom: 0.093
N(E_F), states/eV per atom: 0.210
Magnetic moment, μB/f.u.: 0.0
E, eV per atom: -2.444

No. 8
A plane-wave DFT calculation with GGA-PBE was carried out for a relaxed K4AgBr2 crystal.

Lattice parameters (Å, degrees): 6.2903 6.2903 9.6835 71.05 71.05 90.00
Closest atoms and distances in Å follow each position.
Fractional coordinates of all 7 atoms:
1 K 0.7963 0.7963 0.4073  1 Br 3.14, 1 Ag 3.50
2 K 0.2037 0.2037 0.5927  1 Br 3.14, 1 Ag 3.50
3 K 0.0000 0.5000 0.0000  2 Ag 3.15
4 K 0.5000 0.0000 0.0000  2 Ag 3.15
5 Br 0.6140 0.6140 0.7721  1 K 3.14
6 Br 0.3860 0.3860 0.2279  1 K 3.14
7 Ag 0.0000 0.0000 0.0000  6 K 3.15-3.50

SG: I4/mmm (139)
Crystal system: tetragonal
N(E_F), states/eV per atom: 0.451
Magnetic moment, μB/f.u.: 0.0
E, eV per atom: -2.283

No. 9
A plane-wave DFT calculation with GGA-PBE was carried out for a relaxed KAg3Br crystal.

Lattice parameters (Å, degrees): 5.7745 5.7745 5.7745 90.00 90.00 90.00
Closest atoms and distances in Å follow each position.
Fractional coordinates of all 5 atoms:
1 K 0.0000 0.0000 0.0000  6 Ag 2.89
2 Br 0.5000 0.5000 0.5000  12 Ag 4.08
3 Ag 0.0000 0.5000 0.0000  2 K 2.89
4 Ag 0.0000 0.0000 0.5000  2 K 2.89
5 Ag 0.5000 0.0000 0.0000  2 K 2.89

SG: Pm-3m (221)
Crystal system: cubic
Relative energy among the computed polymorphs, eV/atom: 0.491
N(E_F), states/eV per atom: 1.485
Magnetic moment, μB/f.u.: 0.0
E, eV per atom: -1.330

No. 10
A plane-wave DFT calculation with GGA-PBE was carried out for a relaxed KAg2Br crystal.

Lattice parameters (Å, degrees): 7.5857 7.5857 7.5857 34.07 34.07 34.07
Closest atoms and distances in Å follow each position.
Fractional coordinates of all 4 atoms:
1 Ag 0.9756 0.9756 0.9756  3 Ag 2.76
2 Ag 0.2614 0.2614 0.2614  3 Ag 2.76
3 Br 0.5100 0.5100 0.5100  3 Ag 3.14, 3 K 3.21
4 K 0.7529 0.7529 0.7529  3 Br 3.21, 3 Ag 3.49

SG: R3m (160)
Crystal system: trigonal
Relative energy among the computed polymorphs, eV/atom: 0.109
N(E_F), states/eV per atom: 0.180
Magnetic moment, μB/f.u.: 0.0
E, eV per atom: -2.428

The records above yield E_form (uncorrected) values of -0.50, -0.87, -0.66, -0.59, -0.76, -1.10, -0.33, -0.77, 0.93, -0.31 eV/atom, respectively.